Record 1
! EuGdCuPt | the Alexandria database | GGA-PBE | optimized geometry; values from VASP
&SYSTEM
  ibrav = 0, nat = 4, ntyp = 4
/
ATOMIC_SPECIES
Eu 151.96 Eu.upf
Gd 157.25 Gd.upf
Cu 63.55 Cu.upf
Pt 195.08 Pt.upf
CELL_PARAMETERS angstrom
0.0000 3.5552 3.5552
3.5552 0.0000 3.5552
3.5552 3.5552 0.0000
ATOMIC_POSITIONS crystal
Eu 0.0000 0.0000 0.0000
Gd 0.5000 0.5000 0.5000
Cu 0.7500 0.7500 0.7500
Pt 0.2500 0.2500 0.2500
! size of the total moment = 0.18 Bohr magnetons per cell
! final energy = -9.2201 eV/atom



Record 2
! EuGdCuRu | the Alexandria database | GGA-PBE | optimized geometry; values from VASP
&SYSTEM
  ibrav = 0, nat = 4, ntyp = 4
/
ATOMIC_SPECIES
Eu 151.96 Eu.upf
Gd 157.25 Gd.upf
Cu 63.55 Cu.upf
Ru 101.07 Ru.upf
CELL_PARAMETERS angstrom
0.0000 3.5005 3.5005
3.5005 0.0000 3.5005
3.5005 3.5005 0.0000
ATOMIC_POSITIONS crystal
Eu 0.0000 0.0000 0.0000
Gd 0.5000 0.5000 0.5000
Cu 0.2500 0.2500 0.2500
Ru 0.7500 0.7500 0.7500
! size of the total moment = 13.82 Bohr magnetons per cell
! final energy = -9.5122 eV/atom



Record 3
! EuGdCuSi | the Alexandria database | GGA-PBE | optimized geometry; values from VASP
&SYSTEM
  ibrav = 0, nat = 4, ntyp = 4
/
ATOMIC_SPECIES
Eu 151.96 Eu.upf
Gd 157.25 Gd.upf
Cu 63.55 Cu.upf
Si 28.09 Si.upf
CELL_PARAMETERS angstrom
0.0000 3.5751 3.5751
3.5751 0.0000 3.5751
3.5751 3.5751 0.0000
ATOMIC_POSITIONS crystal
Eu 0.0000 0.0000 0.0000
Gd 0.5000 0.5000 0.5000
Cu 0.7500 0.7500 0.7500
Si 0.2500 0.2500 0.2500
! size of the total moment = 14.29 Bohr magnetons per cell
! energy relative to the elements, uncorrected = -0.364 eV/atom



Record 4
! EuGdCuSn | the Alexandria database | GGA-PBE | optimized geometry; values from VASP
&SYSTEM
  ibrav = 0, nat = 4, ntyp = 4
/
ATOMIC_SPECIES
Eu 151.96 Eu.upf
Gd 157.25 Gd.upf
Cu 63.55 Cu.upf
Sn 118.71 Sn.upf
CELL_PARAMETERS angstrom
0.0000 3.7405 3.7405
3.7405 0.0000 3.7405
3.7405 3.7405 0.0000
ATOMIC_POSITIONS crystal
Eu 0.0000 0.0000 0.0000
Gd 0.5000 0.5000 0.5000
Cu 0.2500 0.2500 0.2500
Sn 0.7500 0.7500 0.7500
! size of the total moment = 14.25 Bohr magnetons per cell
! final energy = -8.5338 eV/atom



Record 5
! EuGdTlCu | the Alexandria database | GGA-PBE | optimized geometry; values from VASP
&SYSTEM
  ibrav = 0, nat = 4, ntyp = 4
/
ATOMIC_SPECIES
Eu 151.96 Eu.upf
Gd 157.25 Gd.upf
Tl 204.38 Tl.upf
Cu 63.55 Cu.upf
CELL_PARAMETERS angstrom
0.0000 3.7629 3.7629
3.7629 0.0000 3.7629
3.7629 3.7629 0.0000
ATOMIC_POSITIONS crystal
Eu 0.0000 0.0000 0.0000
Gd 0.5000 0.5000 0.5000
Tl 0.7500 0.7500 0.7500
Cu 0.2500 0.2500 0.2500
! size of the total moment = 14.09 Bohr magnetons per cell
! final energy = -7.9066 eV/atom



Record 6
! EuGdZnCu | the Alexandria database | GGA-PBE | optimized geometry; values from VASP
&SYSTEM
  ibrav = 0, nat = 4, ntyp = 4
/
ATOMIC_SPECIES
Eu 151.96 Eu.upf
Gd 157.25 Gd.upf
Zn 65.41 Zn.upf
Cu 63.55 Cu.upf
CELL_PARAMETERS angstrom
0.0000 3.6203 3.6203
3.6203 0.0000 3.6203
3.6203 3.6203 0.0000
ATOMIC_POSITIONS crystal
Eu 0.0000 0.0000 0.0000
Gd 0.5000 0.5000 0.5000
Zn 0.7500 0.7500 0.7500
Cu 0.2500 0.2500 0.2500
! size of the total moment = 0.14 Bohr magnetons per cell
! final energy = -7.6201 eV/atom



Record 7
! Eu2CuGe | the Alexandria database | GGA-PBE | optimized geometry; values from VASP
&SYSTEM
  ibrav = 0, nat = 4, ntyp = 3
/
ATOMIC_SPECIES
Eu 151.96 Eu.upf
Cu 63.55 Cu.upf
Ge 72.64 Ge.upf
CELL_PARAMETERS angstrom
5.2808 0.0000 0.0000
0.0000 5.2808 0.0000
0.0000 0.0000 3.5896
ATOMIC_POSITIONS crystal
Eu 0.0000 0.5000 0.0000
Eu 0.5000 0.0000 0.0000
Cu 0.0000 0.0000 0.5000
Ge 0.5000 0.5000 0.5000
! size of the total moment = 13.89 Bohr magnetons per cell
! final energy = -7.6691 eV/atom



Record 8
! EuCuGe | the Alexandria database | GGA-PBE | optimized geometry; values from VASP
&SYSTEM
  ibrav = 0, nat = 36, ntyp = 3
/
ATOMIC_SPECIES
Eu 151.96 Eu.upf
Cu 63.55 Cu.upf
Ge 72.64 Ge.upf
CELL_PARAMETERS angstrom
22.1980 0.0000 0.0000
0.0000 4.4397 0.0000
0.0000 0.0000 7.5235
ATOMIC_POSITIONS crystal
Eu 0.0018 0.2500 0.2142
Eu 0.1664 0.2500 0.2947
Eu 0.1665 0.7500 0.7089
Eu 0.3335 0.2500 0.2089
Eu 0.3336 0.7500 0.7947
Eu 0.4982 0.7500 0.7142
Eu 0.5018 0.2500 0.2858
Eu 0.6664 0.2500 0.2053
Eu 0.6665 0.7500 0.7911
Eu 0.8335 0.2500 0.2911
Eu 0.8336 0.7500 0.7053
Eu 0.9982 0.7500 0.7858
Cu 0.0650 0.7500 0.4188
Cu 0.0974 0.2500 0.9165
Cu 0.2358 0.2500 0.9165
Cu 0.2642 0.7500 0.4165
Cu 0.4026 0.7500 0.4165
Cu 0.4350 0.2500 0.9188
Cu 0.5650 0.7500 0.0812
Cu 0.5974 0.2500 0.5835
Cu 0.7358 0.2500 0.5835
Cu 0.7642 0.7500 0.0835
Cu 0.9026 0.7500 0.0835
Cu 0.9350 0.2500 0.5812
Ge 0.0683 0.2500 0.5913
Ge 0.1026 0.7500 0.0862
Ge 0.2301 0.7500 0.0848
Ge 0.2699 0.2500 0.5848
Ge 0.3974 0.2500 0.5862
Ge 0.4316 0.7500 0.0913
Ge 0.5684 0.2500 0.9087
Ge 0.6026 0.7500 0.4138
Ge 0.7301 0.7500 0.4152
Ge 0.7699 0.2500 0.9152
Ge 0.8974 0.2500 0.9138
Ge 0.9316 0.7500 0.4087
! size of the total moment = 82.37 Bohr magnetons per cell
! final energy = -6.8186 eV/atom